Below is a relaxed structure of Ca2ZnPt, with properties calculated at the PBE level.

The space group is P4mm (No. 99) and the conventional cell measures 4.0681, 4.0681 and 6.0700 Å, with angles of 90.00, 90.00 and 90.00 degrees. The asymmetric unit holds Ca at (0.0000, 0.0000, 0.0000), Ca at (0.5000, 0.5000, 0.3782), Zn at (0.5000, 0.5000, 0.8438) and Pt at (0.0000, 0.0000, 0.5019).

Its crystal system is tetragonal. The density comes out at 5.631 g/cm3.

Below is a relaxed structure of Ca2ZnPt, with properties calculated at the PBE level.

The space group is P2_1/m (No. 11) and the conventional cell measures 5.8715, 4.3086 and 8.3029 Å, with angles of 90.00, 109.37 and 90.00 degrees. The asymmetric unit holds Ca at (0.1958, 0.2500, 0.4215), Ca at (0.2700, 0.7500, 0.0649), Zn at (0.3577, 0.7500, 0.7185) and Pt at (0.1591, 0.2500, 0.7815).

Its crystal system is monoclinic. The density comes out at 5.709 g/cm3.

Below is a relaxed structure of CaZn2Pt, with properties calculated at the PBE level.

The space group is P4/mmm (No. 123) and the conventional cell measures 4.0813, 4.0813 and 4.4429 Å, with angles of 90.00, 90.00 and 90.00 degrees. The asymmetric unit holds Ca at (0.0000, 0.0000, 0.0000), Zn at (0.0000, 0.5000, 0.5000) and Pt at (0.5000, 0.5000, 0.0000).

Its crystal system is tetragonal. The density comes out at 8.212 g/cm3.

Below is a relaxed structure of Ca3Zn2Pt7, with properties calculated at the PBE level.

The space group is R-3m (No. 166, hexagonal axes) and the conventional cell measures 5.5140, 5.5140 and 25.4718 Å, with angles of 90.00, 90.00 and 120.00 degrees. The asymmetric unit holds Ca at (0.0000, 0.0000, 0.0000), Ca at (0.0000, 0.0000, 0.1405), Zn at (0.0000, 0.0000, 0.3340), Pt at (0.0000, 0.0000, 0.5000) and Pt at (0.0034, 0.5017, 0.9194).

Its crystal system is trigonal. The density comes out at 12.008 g/cm3.

Below is a relaxed structure of Ca3ZnPt2, with properties calculated at the PBE level.

The space group is Pnma (No. 62) and the conventional cell measures 11.6868, 4.2960 and 11.5897 Å, with angles of 90.00, 90.00 and 90.00 degrees. The asymmetric unit holds Ca at (0.0504, 0.2500, 0.1205), Ca at (0.1259, 0.7500, 0.5650), Ca at (0.1999, 0.2500, 0.8114), Zn at (0.1273, 0.2500, 0.3740), Pt at (0.0251, 0.7500, 0.3168) and Pt at (0.1900, 0.7500, 0.9952).

Its crystal system is orthorhombic. The density comes out at 6.573 g/cm3.

Below is a relaxed structure of CaZnPt, with properties calculated at the PBE level.

The space group is P-6m2 (No. 187) and the conventional cell measures 4.3539, 4.3539 and 3.9343 Å, with angles of 90.00, 90.00 and 120.00 degrees. The asymmetric unit holds Ca at (0.0000, 0.0000, 0.0000), Zn at (0.3333, 0.6667, 0.5000) and Pt at (0.6667, 0.3333, 0.5000).

Its crystal system is hexagonal. The density comes out at 7.727 g/cm3.

no.,D(E_F) (states/eV per cell),E_form (eV per atom),E (eV/cell)
1,2.6,-0.34,-12.697
2,4.0,-0.68,-28.053
3,0.8,-0.37,-12.079
4,21.7,-0.84,-182.814
5,11.5,-0.77,-95.857
6,1.3,-0.73,-11.492